1.
Density functional theory data (PBE) for a relaxed Pr2SnS4 crystal.

## Properties
- Space-group type: P2_1/m
- Crystal system: monoclinic
- Raw formation energy: -1.413 eV per atom
- E_tot: -5.71 eV/atom

Cell and atoms, written as CIF:
```
data_Pr2SnS4
_chemical_formula_sum 'Pr4 Sn2 S8'
_space_group_name_H-M_alt 'P 1'
_space_group_IT_number 1
_space_group_name_Hall 'P 1'
_cell_length_a 8.7626
_cell_length_b 7.2158
_cell_length_c 7.6099
_cell_angle_alpha 90.00
_cell_angle_beta 102.82
_cell_angle_gamma 90.00
loop_
_atom_site_label
_atom_site_fract_x
_atom_site_fract_y
_atom_site_fract_z
Pr1 0.6295 0.7500 0.0335
Pr2 0.3705 0.2500 0.9665
Pr3 0.3631 0.2500 0.4660
Pr4 0.6369 0.7500 0.5340
Sn1 0.0795 0.7500 0.1601
Sn2 0.9205 0.2500 0.8399
S1 0.4905 0.5045 0.2513
S2 0.8861 0.7500 0.8556
S3 0.1139 0.2500 0.1444
S4 0.4905 0.9955 0.2513
S5 0.1249 0.2500 0.6594
S6 0.5095 0.0045 0.7487
S7 0.5095 0.4955 0.7487
S8 0.8751 0.7500 0.3406
```



2.
Density functional theory data (PBE) for a relaxed PrSnTe2S crystal.

## Properties
- Space-group type: P4/nmm
- Crystal system: tetragonal
- Raw formation energy: -0.948 eV per atom
- E_tot: -4.79 eV/atom

Cell and atoms, written as CIF:
```
data_PrSnTe2S
_chemical_formula_sum 'Pr2 Sn2 Te4 S2'
_space_group_name_H-M_alt 'P 1'
_space_group_IT_number 1
_space_group_name_Hall 'P 1'
_cell_length_a 4.4534
_cell_length_b 4.4534
_cell_length_c 14.9056
_cell_angle_alpha 90.00
_cell_angle_beta 90.00
_cell_angle_gamma 90.00
loop_
_atom_site_label
_atom_site_fract_x
_atom_site_fract_y
_atom_site_fract_z
Pr1 0.5000 0.0000 0.6236
Pr2 0.0000 0.5000 0.3764
Sn1 0.5000 0.0000 0.0985
Sn2 0.0000 0.5000 0.9015
Te1 0.0000 0.5000 0.7039
Te2 0.0000 0.5000 0.1206
Te3 0.5000 0.0000 0.8794
Te4 0.5000 0.0000 0.2961
S1 0.0000 0.0000 0.5000
S2 0.5000 0.5000 0.5000
```



3.
Density functional theory data (PBE) for a relaxed Pr4SnTe2S crystal.

## Properties
- Space-group type: Imma
- Crystal system: orthorhombic
- Raw formation energy: -1.417 eV per atom
- E_tot: -5.61 eV/atom

Cell and atoms, written as CIF:
```
data_Pr4SnTe2S
_chemical_formula_sum 'Pr8 Sn2 Te4 S2'
_space_group_name_H-M_alt 'P 1'
_space_group_IT_number 1
_space_group_name_Hall 'P 1'
_cell_length_a 8.9035
_cell_length_b 8.9035
_cell_length_c 8.9659
_cell_angle_alpha 120.23
_cell_angle_beta 120.23
_cell_angle_gamma 90.03
loop_
_atom_site_label
_atom_site_fract_x
_atom_site_fract_y
_atom_site_fract_z
Pr1 0.2333 0.7550 0.9942
Pr2 0.7450 0.2667 0.5058
Pr3 0.2550 0.7333 0.4942
Pr4 0.7667 0.2450 0.0058
Pr5 0.7537 0.7463 0.9762
Pr6 0.7537 0.7463 0.5238
Pr7 0.2462 0.2537 0.4762
Pr8 0.2462 0.2538 0.0238
Sn1 0.0000 0.5000 0.0000
Sn2 0.0000 0.5000 0.5000
Te1 0.5000 0.0000 0.0000
Te2 0.5000 0.0000 0.5000
Te3 0.0000 0.0000 0.5000
Te4 0.5000 0.5000 0.0000
S1 0.5000 0.5000 0.5000
S2 0.0000 0.0000 0.0000
```